Record 1
MnIn2I4 | PBE-GGA | relaxed

```
MnIn2I4
1.0
5.735 0.000 0.000
0.000 5.735 0.000
0.000 0.000 17.092
Mn In I
2 4 8
direct
0.000 0.000 0.000
0.500 0.500 0.500
0.000 0.000 0.364
0.000 0.000 0.636
0.500 0.500 0.136
0.500 0.500 0.864
0.000 0.000 0.168
0.000 0.000 0.832
0.000 0.500 0.000
0.000 0.500 0.500
0.500 0.000 0.000
0.500 0.000 0.500
0.500 0.500 0.332
0.500 0.500 0.668
```

Computed properties:
The density is 4.68 g/cm³. Its total magnetization is 5.0 μB per formula unit. The calculation puts the formation energy without anion corrections at -374 meV/atom.



Record 2
CeZnNiIr | PBE-GGA | relaxed

```
CeZnNiIr
1.0
3.935 0.000 0.000
0.000 3.793 0.000
0.000 0.000 9.539
Ce Zn Ni Ir
2 2 2 2
direct
0.000 0.000 0.000
0.000 0.500 0.500
0.500 0.000 0.293
0.500 0.500 0.793
0.000 0.000 0.743
0.000 0.500 0.243
0.500 0.000 0.576
0.500 0.500 0.076
```

Computed properties:
The density is 10.65 g/cm³. Its total magnetization is 0.0 μB per formula unit. The energy relative to the elements comes out at -0.44 eV/atom.



Record 3
KAlTl2 | PBE-GGA | relaxed

```
KAlTl2
1.0
9.250 0.000 0.000
0.000 3.713 0.000
-1.248 0.000 7.802
K Al Tl
2 2 4
direct
0.000 0.000 0.000
0.500 0.500 0.000
0.254 0.500 0.316
0.754 0.000 0.316
0.238 0.000 0.676
0.487 0.000 0.439
0.738 0.500 0.676
0.987 0.500 0.439
```

Computed properties:
The density is 5.89 g/cm³. Its total magnetization is 0.0 μB per formula unit. The energy relative to the elements comes out at 0.12 eV/atom.



Record 4
ReTcCl2 | PBE-GGA | relaxed

```
ReTcCl2
1.0
2.897 0.000 0.000
0.000 4.504 0.000
0.000 0.000 13.967
Re Tc Cl
2 2 4
direct
0.000 0.000 0.000
0.500 0.500 0.500
0.000 0.000 0.500
0.500 0.500 0.000
0.000 0.500 0.360
0.000 0.500 0.640
0.500 0.000 0.140
0.500 0.000 0.860
```

Computed properties:
The density is 6.47 g/cm³. Its total magnetization is 0.8 μB per formula unit. The calculation puts the formation energy without anion corrections at 583 meV/atom.